[1]
A relaxed structure of Sr4AgSb3O12, computed with GGA-PBE.

```
data_Sr4AgSb3O12
_chemical_formula_sum 'Sr8 Ag2 Sb6 O24'
_cell_length_a 8.308
_cell_length_b 8.308
_cell_length_c 8.308
_cell_angle_alpha 90.00
_cell_angle_beta 90.00
_cell_angle_gamma 90.00
_space_group_name_H-M_alt 'I m -3 m'
_space_group_IT_number 229
_space_group_name_Hall '-I 4 2 3'
loop_
_atom_site_label
_atom_site_type_symbol
_atom_site_fract_x
_atom_site_fract_y
_atom_site_fract_z
Sr1 Sr 0.250 0.250 0.250
Ag1 Ag 0.000 0.000 0.000
Sb1 Sb 0.000 0.000 0.500
O1 O 0.000 0.000 0.269
O2 O 0.000 0.250 0.500
```

* formation energy from raw total energies: -1.927 eV per atom

[2]
A relaxed structure of TaAgSbO6, computed with GGA-PBE.

```
data_TaAgSbO6
_chemical_formula_sum 'Ta2 Ag2 Sb2 O12'
_cell_length_a 5.3765
_cell_length_b 5.3765
_cell_length_c 9.6230
_cell_angle_alpha 90.00
_cell_angle_beta 90.00
_cell_angle_gamma 120.00
_space_group_name_H-M_alt 'P -3 1 c'
_space_group_IT_number 163
_space_group_name_Hall '-P 3 2c'
loop_
_atom_site_label
_atom_site_type_symbol
_atom_site_fract_x
_atom_site_fract_y
_atom_site_fract_z
Ta1 Ta 0.3333 0.6667 0.2500
Ag1 Ag 0.0000 0.0000 0.0000
Sb1 Sb 0.3333 0.6667 0.7500
O1 O 0.0004 0.3700 0.1387
```

* formation energy from raw total energies: -1.551 eV per atom

[3]
A relaxed structure of TcAgSbO6, computed with GGA-PBE.

```
data_TcAgSbO6
_chemical_formula_sum 'Tc2 Ag2 Sb2 O12'
_cell_length_a 5.3275
_cell_length_b 5.3275
_cell_length_c 9.9328
_cell_angle_alpha 90.00
_cell_angle_beta 90.00
_cell_angle_gamma 120.00
_space_group_name_H-M_alt 'P -3 1 c'
_space_group_IT_number 163
_space_group_name_Hall '-P 3 2c'
loop_
_atom_site_label
_atom_site_type_symbol
_atom_site_fract_x
_atom_site_fract_y
_atom_site_fract_z
Tc1 Tc 0.3333 0.6667 0.2500
Ag1 Ag 0.0000 0.0000 0.0000
Sb1 Sb 0.3333 0.6667 0.7500
O1 O 0.0130 0.3878 0.1401
```

* formation energy from raw total energies: -1.048 eV per atom

[4]
A relaxed structure of AgSbTe2O8, computed with GGA-PBE.

```
data_AgSbTe2O8
_chemical_formula_sum 'Ag1 Sb1 Te2 O8'
_cell_length_a 4.987
_cell_length_b 4.989
_cell_length_c 7.028
_cell_angle_alpha 83.71
_cell_angle_beta 82.62
_cell_angle_gamma 86.26
_space_group_name_H-M_alt 'P -1'
_space_group_IT_number 2
loop_
_space_group_symop_operation_xyz
'x,y,z'
'-x,-y,-z'
loop_
_atom_site_label
_atom_site_type_symbol
_atom_site_fract_x
_atom_site_fract_y
_atom_site_fract_z
Ag1 Ag 0.000 0.000 0.000
Sb1 Sb 0.000 0.000 0.500
Te1 Te 0.482 0.525 0.746
O1 O 0.108 0.170 0.720
O2 O 0.266 0.674 0.961
O3 O 0.274 0.183 0.298
O4 O 0.274 0.678 0.538
```

* formation energy from raw total energies: -0.868 eV per atom

[5]
A relaxed structure of AgSbTeO6, computed with GGA-PBE.

```
data_AgSbTeO6
_chemical_formula_sum 'Ag2 Sb2 Te2 O12'
_cell_length_a 5.3161
_cell_length_b 5.3161
_cell_length_c 10.6149
_cell_angle_alpha 90.00
_cell_angle_beta 90.00
_cell_angle_gamma 120.00
_space_group_name_H-M_alt 'P -3 1 c'
_space_group_IT_number 163
_space_group_name_Hall '-P 3 2c'
loop_
_atom_site_label
_atom_site_type_symbol
_atom_site_fract_x
_atom_site_fract_y
_atom_site_fract_z
Ag1 Ag 0.0000 0.0000 0.0000
Sb1 Sb 0.3333 0.6667 0.2500
Te1 Te 0.3333 0.6667 0.7500
O1 O 0.0079 0.3808 0.6456
```

* formation energy from raw total energies: -0.974 eV per atom

[6]
A relaxed structure of Tl2AgSbO4, computed with GGA-PBE.

```
data_Tl2AgSbO4
_chemical_formula_sum 'Tl2 Ag1 Sb1 O4'
_cell_length_a 5.751
_cell_length_b 6.023
_cell_length_c 6.117
_cell_angle_alpha 95.83
_cell_angle_beta 112.39
_cell_angle_gamma 117.98
_space_group_name_H-M_alt 'P 1'
_space_group_IT_number 1
loop_
_space_group_symop_operation_xyz
'x,y,z'
loop_
_atom_site_label
_atom_site_type_symbol
_atom_site_fract_x
_atom_site_fract_y
_atom_site_fract_z
Tl1 Tl 0.000 0.000 0.000
Tl2 Tl 0.441 0.232 0.692
Ag1 Ag 0.445 0.691 0.135
Sb1 Sb 0.932 0.486 0.453
O1 O 0.035 0.601 0.801
O2 O 0.229 0.451 0.413
O3 O 0.547 0.154 0.313
O4 O 0.901 0.753 0.320
```

* formation energy from raw total energies: -0.824 eV per atom

[7]
A relaxed structure of UAgSbO, computed with GGA-PBE.

```
data_UAgSbO
_chemical_formula_sum 'U2 Ag2 Sb2 O2'
_cell_length_a 4.025
_cell_length_b 4.025
_cell_length_c 9.728
_cell_angle_alpha 90.00
_cell_angle_beta 90.00
_cell_angle_gamma 90.00
_space_group_name_H-M_alt 'P 4/n m m'
_space_group_IT_number 129
loop_
_space_group_symop_operation_xyz
'x,y,z'
'-x,-y,-z'
'-y+1/2,x,z'
'y+1/2,-x,-z'
'-x+1/2,-y+1/2,z'
'x+1/2,y+1/2,-z'
'y,-x+1/2,z'
'-y,x+1/2,-z'
'x+1/2,-y,-z'
'-x+1/2,y,z'
'-y,-x,-z'
'y,x,z'
'-x,y+1/2,-z'
'x,-y+1/2,z'
'y+1/2,x+1/2,-z'
'-y+1/2,-x+1/2,z'
loop_
_atom_site_label
_atom_site_type_symbol
_atom_site_fract_x
_atom_site_fract_y
_atom_site_fract_z
U1 U 0.250 0.250 0.124
Ag1 Ag 0.250 0.750 0.500
Sb1 Sb 0.250 0.250 0.713
O1 O 0.250 0.750 0.000
```

* formation energy from raw total energies: -1.295 eV per atom

[8]
A relaxed structure of UAgSbO6, computed with GGA-PBE.

```
data_UAgSbO6
_chemical_formula_sum 'U2 Ag2 Sb2 O12'
_cell_length_a 5.5694
_cell_length_b 5.5694
_cell_length_c 10.1563
_cell_angle_alpha 90.00
_cell_angle_beta 90.00
_cell_angle_gamma 120.00
_space_group_name_H-M_alt 'P -3 1 c'
_space_group_IT_number 163
_space_group_name_Hall '-P 3 2c'
loop_
_atom_site_label
_atom_site_type_symbol
_atom_site_fract_x
_atom_site_fract_y
_atom_site_fract_z
U1 U 0.3333 0.6667 0.2500
Ag1 Ag 0.0000 0.0000 0.0000
Sb1 Sb 0.3333 0.6667 0.7500
O1 O 0.0131 0.3762 0.6427
```

* formation energy from raw total energies: -1.788 eV per atom

[9]
A relaxed structure of UAgSb2O8, computed with GGA-PBE.

```
data_UAgSb2O8
_chemical_formula_sum 'U2 Ag2 Sb4 O16'
_cell_length_a 7.134
_cell_length_b 7.431
_cell_length_c 6.341
_cell_angle_alpha 90.00
_cell_angle_beta 90.00
_cell_angle_gamma 90.00
_space_group_name_H-M_alt 'C m m m'
_space_group_IT_number 65
_space_group_name_Hall '-C 2 2'
loop_
_atom_site_label
_atom_site_type_symbol
_atom_site_fract_x
_atom_site_fract_y
_atom_site_fract_z
U1 U 0.000 0.000 0.000
Ag1 Ag 0.000 0.000 0.500
Sb1 Sb 0.000 0.500 0.253
O1 O 0.000 0.317 0.000
O2 O 0.000 0.326 0.500
O3 O 0.218 0.000 0.220
```

* formation energy from raw total energies: -1.696 eV per atom

Which formula does entry 8 have?
UAgSbO6

The lowest formation energy from raw total energies belongs to which entry?
Sr4AgSb3O12

Copy entry 2 word for word.
A relaxed structure of TaAgSbO6, computed with GGA-PBE.

```
data_TaAgSbO6
_chemical_formula_sum 'Ta2 Ag2 Sb2 O12'
_cell_length_a 5.3765
_cell_length_b 5.3765
_cell_length_c 9.6230
_cell_angle_alpha 90.00
_cell_angle_beta 90.00
_cell_angle_gamma 120.00
_space_group_name_H-M_alt 'P -3 1 c'
_space_group_IT_number 163
_space_group_name_Hall '-P 3 2c'
loop_
_atom_site_label
_atom_site_type_symbol
_atom_site_fract_x
_atom_site_fract_y
_atom_site_fract_z
Ta1 Ta 0.3333 0.6667 0.2500
Ag1 Ag 0.0000 0.0000 0.0000
Sb1 Sb 0.3333 0.6667 0.7500
O1 O 0.0004 0.3700 0.1387
```

* formation energy from raw total energies: -1.551 eV per atom

The highest formation energy from raw total energies belongs to which entry?
Tl2AgSbO4